First-principles (PBE) data for a geometry-optimized Ce12Ga6Sn structure, as listed in Alexandria via LeMat-Bulk.

a b c (Å): 8.3068 8.3068 8.3068
angles (deg): 105.61 105.61 105.61
Each line ends with the local moment (μB).
Element x y z (fractional)
Ga (0.6903, 0.6903, 0.3078)  0.01
Ga (0.3097, 0.3097, 0.6922)  0.01
Ce (0.8960, 0.1040, 0.5000)  0.74
Ce (0.1040, 0.5000, 0.8960)  0.74
Ce (0.9120, 0.6447, 0.6447)  0.78
Ce (0.0880, 0.3553, 0.3553)  0.78
Ga (0.6903, 0.3078, 0.6903)  0.01
Ce (0.3553, 0.3553, 0.0880)  0.78
Ce (0.3553, 0.0880, 0.3553)  0.78
Ce (0.1040, 0.8960, 0.5000)  0.74
Sn (0.0000, 0.0000, 0.0000)  -0.01
Ce (0.5000, 0.1040, 0.8960)  0.74
Ga (0.3078, 0.6903, 0.6903)  0.01
Ga (0.6922, 0.3097, 0.3097)  0.01
Ce (0.6447, 0.6447, 0.9120)  0.78
Ce (0.8960, 0.5000, 0.1040)  0.74
Ce (0.5000, 0.8960, 0.1040)  0.74
Ga (0.3097, 0.6922, 0.3097)  0.01
Ce (0.6447, 0.9120, 0.6447)  0.78

crystal system	trigonal
ΔE_f	-0.148	eV/atom
symmetry	No. 166